Entry 1:
Compound: Ce4SiCCl2
Source: Alexandria
Functional: PBE
Structure: optimized geometry

- Fermi-level density of states: 2.142 states/eV per atom
- Symmetry: P2/m, No. 10
- Total magnetization: 2.4 μB per formula unit
- Raw formation energy: -7.8 eV per formula unit
- Volume: 186 Å³ per cell

```
8
Lattice="3.9247 0.0000 0.0000 0.0000 6.9826 0.1701 0.0000 -2.3963 6.7188" Properties=species:S:1:pos:R:3 pbc="T T T"
Si 0.0000 0.0000 0.0000
Ce 0.0000 0.1197 5.3742
Ce 1.9623 3.2365 5.3313
Cl 0.0000 2.2932 3.4444
Ce 0.0000 4.4667 1.5146
Cl 1.9623 -1.1981 3.3594
Ce 1.9623 1.3498 1.5576
C 1.9623 3.4913 0.0850
```


Entry 2:
Compound: Li2Cu2AgPd5
Source: Alexandria
Functional: PBE
Structure: optimized geometry

- Fermi-level density of states: 0.654 states/eV per atom
- Symmetry: P4/mbm, No. 127
- Formation energy: -0.1130 eV/atom
- Total magnetization: 0.0 μB per formula unit
- Volume: 317 Å³ per cell

```
20
Lattice="-3.9263 1.1945 -0.1727 -0.6337 -0.8207 8.7291 2.5039 8.3704 0.9687" Properties=species:S:1:pos:R:3 pbc="T T T"
Pd -1.3544 3.5445 6.4587
Pd -0.1620 7.6527 7.7622
Cu 0.3907 2.4460 8.0336
Li 0.7071 2.5892 1.8320
Pd -1.8941 1.0916 1.7628
Pd -2.2800 0.1869 4.2782
Pd -0.0178 7.2030 1.3749
Pd -0.5696 6.0072 5.6486
Ag 0.0000 0.0000 0.0000
Pd -0.7112 4.7825 0.3980
Li 0.0079 0.9007 6.0486
Li 1.1631 4.9606 7.8658
Ag 0.9351 3.7749 4.8489
Li 1.8623 6.6491 3.6492
Pd -0.7016 5.1998 3.0663
Cu 0.0649 0.7079 3.4204
Cu 1.8053 6.8419 6.2774
Cu 1.4795 5.1038 1.6642
Pd -1.4865 2.7371 3.8765
Pd -2.0383 1.5412 8.1501
```


Entry 3:
Compound: Li2SiGeTe4
Source: Alexandria
Functional: PBE
Structure: optimized geometry

- Symmetry: Fmm2, No. 42
- Total magnetization: 0.0 μB per formula unit
- Raw formation energy: -3.1 eV per formula unit
- Volume: 246 Å³ per cell

```
8
Lattice="6.4606 -0.3166 0.0000 -0.8514 6.4121 0.0000 -2.8046 -3.0477 5.9673" Properties=species:S:1:pos:R:3 pbc="T T T"
Te 1.3735 1.4926 4.3876
Li 3.2303 -0.1583 3.0950
Li -0.4257 3.2060 3.0950
Te 1.2073 4.5177 1.3092
Te 4.4020 1.5778 1.3092
Si 2.8046 3.0477 0.0303
Ge 0.0000 0.0000 0.2916
Te -1.3735 -1.4926 4.3876
```


Entry 4:
Compound: Mg3Tl4Pb2
Source: Alexandria
Functional: PBE
Structure: optimized geometry

- Fermi-level density of states: 0.461 states/eV per atom
- Symmetry: Fmmm, No. 69
- Formation energy: -0.0076 eV/atom
- Total magnetization: 0.0 μB per formula unit
- Volume: 253 Å³ per cell

```
9
Lattice="6.1305 -0.1717 0.0000 -3.0012 5.3484 0.0000 -1.5647 -2.5884 7.8498" Properties=species:S:1:pos:R:3 pbc="T T T"
Tl 1.4211 -0.8590 2.7127
Tl -1.4211 0.8590 2.7127
Pb 1.5647 2.5884 1.7026
Pb 0.0000 0.0000 6.1472
Mg 3.0653 -0.0859 0.0000
Mg 0.0000 0.0000 0.0000
Tl 0.1436 3.4474 5.1371
Tl 2.9857 1.7293 5.1371
Mg -1.5006 2.6742 0.0000
```


Entry 5:
Compound: AlRuBr2
Source: Alexandria
Functional: PBE
Structure: optimized geometry

- Fermi-level density of states: 0.651 states/eV per atom
- Symmetry: Cm, No. 8
- Total magnetization: 0.0 μB per formula unit
- Raw formation energy: -0.5 eV per formula unit
- Volume: 107 Å³ per cell

```
4
Lattice="4.3524 0.0361 -0.0737 2.9371 3.2122 -0.0737 -0.7372 -0.3285 7.6948" Properties=species:S:1:pos:R:3 pbc="T T T"
Br 4.4312 1.9746 4.9316
Br 0.0043 0.0019 0.7425
Al 1.6525 0.7364 3.1908
Ru 3.7406 1.6669 2.4561
```


Entry 6:
Compound: Pm3Sm3MgS8
Source: Alexandria
Functional: PBE
Structure: optimized geometry

- Fermi-level density of states: 0.241 states/eV per atom
- Symmetry: R-3m, No. 166
- Total magnetization: 0.0 μB per formula unit
- Raw formation energy: -29.6 eV per formula unit
- Volume: 361 Å³ per cell

```
15
Lattice="-5.9573 -3.1087 -4.3121 2.7962 -3.9307 6.3625 -4.2254 6.7156 0.9960" Properties=species:S:1:pos:R:3 pbc="T T T"
S -3.1961 2.3394 2.7290
S -6.2295 0.7332 0.6860
S -1.7305 0.2792 6.0639
S -5.6559 -0.6030 -3.0174
S -1.1569 -1.0570 2.3604
Sm -3.6932 -0.1619 1.5232
Mg -2.1127 3.3578 0.4980
S -4.8529 -1.3501 3.8038
Sm -0.7146 1.3924 3.6793
S -4.1903 -2.6632 0.3174
S -2.5335 1.0263 -0.7573
Pm 0.0000 0.0000 0.0000
Pm -1.5805 -3.5197 1.0252
Pm 1.3981 -1.9653 3.1812
Sm -5.0913 1.8034 -1.6580
```


Entry 7:
Compound: HfRh3Cl
Source: Alexandria
Functional: PBE
Structure: optimized geometry

- Fermi-level density of states: 0.941 states/eV per atom
- Symmetry: Pm-3m, No. 221
- Total magnetization: 0.0 μB per formula unit
- Raw formation energy: 1.8 eV per formula unit
- Volume: 86 Å³ per cell

```
5
Lattice="4.4193 0.0000 0.0000 0.0000 4.4193 0.0000 0.0000 0.0000 4.4193" Properties=species:S:1:pos:R:3 pbc="T T T"
Cl 0.0000 0.0000 0.0000
Rh 0.0000 0.0000 2.2097
Rh 2.2097 0.0000 0.0000
Hf 2.2097 2.2097 2.2097
Rh 0.0000 2.2097 0.0000
```


Entry 8:
Compound: CaSbP
Source: Alexandria
Functional: PBE
Structure: optimized geometry

- Fermi-level density of states: 0.319 states/eV per atom
- Symmetry: P3m1, No. 156
- Total magnetization: 0.0 μB per formula unit
- Raw formation energy: -1.2 eV per formula unit
- Volume: 79 Å³ per cell

```
3
Lattice="-4.0724 -2.0490 -0.0912 3.7434 -2.4104 0.9836 -0.5463 0.8956 4.2736" Properties=species:S:1:pos:R:3 pbc="T T T"
Sb -1.7713 -1.6708 2.6467
P 0.9142 -1.9227 2.3777
Ca -0.0181 0.0297 0.1418
```